First-principles (PBE) data for a relaxed Mn2InNiN crystal, as listed in Alexandria.

The raw formation energy comes out at -0.70 eV/f.u.

The space group is P4/mmm (No. 123) and the conventional cell measures 3.839, 3.839 and 4.071 Å, with angles of 90.00, 90.00 and 90.00 degrees. Symmetry generates all atoms from Mn at (0.000, 0.500, 0.000), In at (0.000, 0.000, 0.500), Ni at (0.500, 0.500, 0.500) and N at (0.500, 0.500, 0.000).

=====

First-principles (PBE) data for a relaxed LiSnICl2 crystal, as listed in Alexandria.

The raw formation energy comes out at -5.50 eV/f.u.

The space group is P2_1/m (No. 11) and the conventional cell measures 7.683, 4.439 and 8.914 Å, with angles of 90.00, 110.82 and 90.00 degrees. Symmetry generates all atoms from Li at (0.228, 0.250, 0.270), Sn at (0.251, 0.250, 0.793), I at (0.211, 0.750, 0.455), Cl at (0.096, 0.750, 0.890) and Cl at (0.436, 0.250, 0.128).

=====

First-principles (PBE) data for a relaxed LiTb2ZrS5 crystal, as listed in Alexandria.

The raw formation energy comes out at -15.74 eV/f.u.

The space group is Cmc2_1 (No. 36) and the conventional cell measures 3.807, 16.086 and 11.603 Å, with angles of 90.00, 90.00 and 90.00 degrees. Symmetry generates all atoms from Li at (0.000, 0.012, 0.000), Tb at (0.000, 0.370, 0.823), Tb at (0.000, 0.391, 0.218), Zr at (0.000, 0.305, 0.532), S at (0.000, 0.003, 0.305), S at (0.000, 0.141, 0.527), S at (0.000, 0.191, 0.876), S at (0.000, 0.216, 0.190) and S at (0.000, 0.450, 0.593).

=====

First-principles (PBE) data for a relaxed TbCd6Au6 crystal, as listed in Alexandria.

For the formation energy, the calculation gives -0.229 eV per atom.

The space group is P6/mmm (No. 191) and the conventional cell measures 5.7997, 5.7997 and 9.4793 Å, with angles of 90.00, 90.00 and 120.00 degrees. Symmetry generates all atoms from Tb at (0.0000, 0.0000, 0.0000), Cd at (0.0000, 0.5000, 0.2524), Au at (0.0000, 0.0000, 0.3152), Au at (0.3333, 0.6667, 0.0000) and Au at (0.3333, 0.6667, 0.5000).

=====

First-principles (PBE) data for a relaxed Ac2Ga4AgPd3 crystal, as listed in Alexandria.

For the formation energy, the calculation gives -0.697 eV per atom.

The space group is P-4m2 (No. 115) and the conventional cell measures 4.478, 4.478 and 10.608 Å, with angles of 90.00, 90.00 and 90.00 degrees. Symmetry generates all atoms from Ac at (0.000, 0.500, 0.243), Ga at (0.000, 0.000, 0.000), Ga at (0.000, 0.500, 0.629), Ga at (0.500, 0.500, 0.000), Ag at (0.000, 0.000, 0.500), Pd at (0.000, 0.500, 0.872) and Pd at (0.500, 0.500, 0.500).

=====

First-principles (PBE) data for a relaxed KTa2In crystal, as listed in Alexandria.

For the formation energy, the calculation gives 1.024 eV per atom.

The space group is Pmmm (No. 47) and the conventional cell measures 2.990, 5.356 and 5.615 Å, with angles of 90.00, 90.00 and 90.00 degrees. Symmetry generates all atoms from K at (0.000, 0.000, 0.000), Ta at (0.000, 0.500, 0.500), Ta at (0.500, 0.000, 0.500) and In at (0.500, 0.500, 0.000).

=====

First-principles (PBE) data for a relaxed SnBMo2 crystal, as listed in Alexandria.

For the formation energy, the calculation gives 0.814 eV per atom. Its excess energy over the best structure of this formula in the dataset is 0.0 meV per atom.

The space group is Fm-3m (No. 225) and the conventional cell measures 6.215, 6.215 and 6.215 Å, with angles of 90.00, 90.00 and 90.00 degrees. Symmetry generates all atoms from Sn at (0.000, 0.000, 0.000), B at (0.000, 0.000, 0.500) and Mo at (0.250, 0.250, 0.250).

=====

First-principles (PBE) data for a relaxed InCo2Pt crystal, as listed in Alexandria.

For the formation energy, the calculation gives 0.043 eV per atom.

The space group is Pm (No. 6) and the conventional cell measures 2.821, 4.103 and 5.245 Å, with angles of 90.00, 105.41 and 90.00 degrees. Symmetry generates all atoms from In at (0.000, 0.000, 0.000), Co at (0.267, 0.000, 0.533), Co at (0.379, 0.500, 0.755) and Pt at (0.652, 0.500, 0.303).

=====

First-principles (PBE) data for a relaxed FeOs crystal, as listed in Alexandria.

For the formation energy, the calculation gives 0.071 eV per atom.

The space group is Cm (No. 8) and the conventional cell measures 9.386, 2.658 and 6.182 Å, with angles of 90.00, 104.09 and 90.00 degrees. Symmetry generates all atoms from Fe at (0.000, 0.000, 0.000), Fe at (0.059, 0.000, 0.611), Fe at (0.169, 0.500, 0.338), Os at (0.216, 0.500, 0.948), Os at (0.337, 0.000, 0.667) and Os at (0.396, 0.000, 0.280).

=====

First-principles (PBE) data for a relaxed La2Sb2Pb crystal, as listed in Alexandria.

The raw formation energy comes out at -4.47 eV/f.u. Its excess energy over the best structure of this formula in the dataset is 0.0 meV per atom.

The space group is P4/mbm (No. 127) and the conventional cell measures 8.647, 8.647 and 4.320 Å, with angles of 90.00, 90.00 and 90.00 degrees. Symmetry generates all atoms from La at (0.153, 0.347, 0.000), Sb at (0.150, 0.650, 0.500) and Pb at (0.000, 0.000, 0.500).

=====

First-principles (PBE) data for a relaxed TaPRu2 crystal, as listed in Alexandria.

For the formation energy, the calculation gives 0.288 eV per atom.

The space group is I-42d (No. 122) and the conventional cell measures 5.575, 5.575 and 10.405 Å, with angles of 90.00, 90.00 and 90.00 degrees. Symmetry generates all atoms from Ta at (0.000, 0.000, 0.000), P at (0.000, 0.000, 0.500) and Ru at (0.211, 0.250, 0.625).

=====

First-principles (PBE) data for a relaxed ReNi2Se crystal, as listed in Alexandria.

The raw formation energy comes out at 1.50 eV/f.u.

The space group is Immm (No. 71) and the conventional cell measures 2.889, 4.302 and 8.497 Å, with angles of 90.00, 90.00 and 90.00 degrees. Symmetry generates all atoms from Re at (0.000, 0.000, 0.000), Ni at (0.000, 0.500, 0.232) and Se at (0.000, 0.000, 0.500).

=====

no.,M_tot (μB per formula unit)
1,3.8
2,0.0
3,0.0
4,0.0
5,0.0
6,1.0
7,0.0
8,3.4
9,0.0
10,0.0
11,0.0
12,0.0